1.
16
Lattice="6.2572 0.0000 0.0000 0.0000 6.2572 0.0000 0.0000 0.0000 6.2572" Properties=species:S:1:pos:R:3 comment="ZrMnZnCo (PBE, optimized geometry)" spacegroup="F-43m (216)" vol_a3_per_cell=245.0 formation_enthalpy_0k_ev_per_atom=-0.087 pbc="T T T"
Zr 0.0000 0.0000 0.0000
Zr 0.0000 3.1286 3.1286
Zr 3.1286 0.0000 3.1286
Zr 3.1286 3.1286 0.0000
Mn 0.0000 0.0000 3.1286
Mn 0.0000 3.1286 0.0000
Mn 3.1286 0.0000 0.0000
Mn 3.1286 3.1286 3.1286
Zn 1.5643 1.5643 1.5643
Zn 1.5643 4.6929 4.6929
Zn 4.6929 1.5643 4.6929
Zn 4.6929 4.6929 1.5643
Co 1.5643 1.5643 4.6929
Co 1.5643 4.6929 1.5643
Co 4.6929 1.5643 1.5643
Co 4.6929 4.6929 4.6929

=====

2.
12
Lattice="9.2123 -2.9707 0.0000 9.2123 2.9707 0.0000 -7.8936 0.0000 9.8686" Properties=species:S:1:pos:R:3 comment="Ba7Bi4H (PBE, optimized geometry)" spacegroup="C2/m (12)" energy_ev_per_atom=-3.49 vol_a3_per_cell=540.2 pbc="T T T"
Ba 0.0000 0.0000 0.0000
Ba -1.7691 0.0000 5.4073
Ba 4.2710 0.0000 1.4175
Ba 2.0018 0.0000 7.1989
Ba 8.5293 0.0000 2.6697
Ba 6.2601 0.0000 8.4511
Ba 12.3002 0.0000 4.4613
Bi -4.7934 0.0000 7.7995
Bi 1.3973 0.0000 3.3721
Bi 9.1338 0.0000 6.4965
Bi 15.3244 0.0000 2.0691
H 9.2123 0.0000 0.0000

=====

3.
10
Lattice="6.2742 -1.8076 0.0000 6.2742 1.8076 0.0000 -2.7932 0.0000 10.1582" Properties=species:S:1:pos:R:3 comment="Y3CdO (PBE, optimized geometry)" spacegroup="C2/m (12)" e_above_lowest_polymorph_ev_per_atom=0.0881 vol_a3_per_cell=230.4 pbc="T T T"
Y 0.8584 0.0000 1.6838
Y 0.5683 0.0000 6.3124
Y 4.0639 0.0000 0.9845
Y 5.6913 0.0000 9.1737
Y 9.1869 0.0000 3.8458
Y 8.8968 0.0000 8.4744
Cd 4.0825 0.0000 6.3326
Cd 5.6727 0.0000 3.8256
O 1.0492 0.0000 8.6916
O 8.7060 0.0000 1.4666

=====

4.
6
Lattice="0.0000 3.3517 3.3517 3.3517 0.0000 3.3517 3.3517 3.3517 0.0000" Properties=species:S:1:pos:R:3 comment="Fe4CoAg (PBE, optimized geometry)" spacegroup="F-43m (216)" vol_a3_per_cell=75.3 formation_enthalpy_0k_ev_per_atom=0.266 pbc="T T T"
Fe 0.8388 0.8388 0.8388
Fe 2.5130 2.5130 0.8388
Fe 2.5130 0.8388 2.5130
Fe 0.8388 2.5130 2.5130
Co 3.3517 3.3517 3.3517
Ag 5.0276 5.0276 5.0276

=====

5.
14
Lattice="5.3490 0.0000 0.0000 0.0000 5.3490 0.0000 0.0000 0.0000 14.8548" Properties=species:S:1:pos:R:3 comment="PrEr2Mg4 (PBE, optimized geometry)" spacegroup="I4/mmm (139)" e_above_lowest_polymorph_ev_per_atom=0.0000 vol_a3_per_cell=425.0 formation_enthalpy_0k_ev_per_atom=0.145 pbc="T T T"
Pr 0.0000 0.0000 0.0000
Pr 2.6745 2.6745 7.4274
Er 0.0000 0.0000 3.7064
Er 0.0000 0.0000 11.1485
Er 2.6745 2.6745 3.7210
Er 2.6745 2.6745 11.1338
Mg 0.0000 2.6745 1.8093
Mg 0.0000 2.6745 5.6181
Mg 0.0000 2.6745 9.2368
Mg 0.0000 2.6745 13.0455
Mg 2.6745 0.0000 1.8093
Mg 2.6745 0.0000 5.6181
Mg 2.6745 0.0000 9.2368
Mg 2.6745 0.0000 13.0455

=====

6.
6
Lattice="3.1429 1.8146 5.6946 -3.1429 1.8146 5.6946 0.0000 -3.6292 5.6946" Properties=species:S:1:pos:R:3 comment="La2Sc (PBE, optimized geometry)" spacegroup="R32 (155)" e_above_lowest_polymorph_ev_per_atom=0.0319 vol_a3_per_cell=194.9 formation_enthalpy_0k_ev_per_atom=0.084 pbc="T T T"
La 0.0000 0.0000 0.0000
La -0.9649 -1.6713 8.5420
La -0.9649 1.6713 8.5420
La 1.9298 0.0000 8.5420
Sc 0.0000 0.0000 5.6230
Sc 0.0000 0.0000 11.4609

=====

7.
14
Lattice="-3.3767 3.5176 4.8417 3.3767 -3.5176 4.8417 3.3767 3.5176 -4.8417" Properties=species:S:1:pos:R:3 comment="LiYPaO4 (PBE, optimized geometry)" spacegroup="Imma (74)" energy_ev_per_atom=-8.38 vol_a3_per_cell=230.0 pbc="T T T"
Li 0.0000 1.7588 1.2501
Li 3.3767 1.7588 3.5916
Y 1.6883 1.7588 -2.4208
Y 1.6883 -1.7588 2.4208
Pa 3.3767 0.0000 0.0000
Pa 0.0000 0.0000 4.8417
O 3.3767 -0.2007 2.2278
O 1.8899 1.7588 -0.1086
O 4.8635 1.7588 -0.1086
O 3.3767 3.3170 -2.2278
O 0.0000 0.2007 7.0695
O -1.4868 1.7588 4.9502
O 1.4868 1.7588 4.9502
O 0.0000 3.7183 2.6138

=====

8.
16
Lattice="6.3072 0.0000 0.0000 0.0000 7.8704 4.5406 0.0000 -7.8704 4.5406" Properties=species:S:1:pos:R:3 comment="Er5Tm5Bi6 (PBE, optimized geometry)" spacegroup="Amm2 (38)" vol_a3_per_cell=450.8 formation_enthalpy_0k_ev_per_atom=-0.620 pbc="T T T"
Er 0.0000 0.0000 0.0000
Er 1.5766 -2.6213 6.7384
Er 1.5766 2.6213 6.7384
Er 4.7306 -2.6213 6.7384
Er 4.7306 2.6213 6.7384
Tm 0.0000 -1.9025 3.2923
Tm 0.0000 1.9025 3.2923
Tm 3.1536 -1.9029 1.1006
Tm 3.1536 1.9029 1.1006
Tm 3.1536 0.0000 4.3856
Bi 0.0000 -4.8009 4.9704
Bi 0.0000 0.0000 5.7274
Bi 0.0000 4.8009 4.9704
Bi 3.1536 -3.0655 3.9654
Bi 3.1536 3.0655 3.9654
Bi 3.1536 0.0000 7.7416